(1)
Here is crystalline EuCN2 at its relaxed geometry from Alexandria via LeMat-Bulk. Energies are from PBE-GGA.

Calculated values
Uncorrected formation energy ... -0.81 eV per atom

abc: 12.314 3.914 5.424
angles: 90.00 90.00 90.00
Space group Pnma (No. 62)
Symmetry-distinct sites (fractional):
Eu: 0.131 0.250 0.112 (multiplicity 4)
C: 0.122 0.750 0.614 (multiplicity 4)
N: 0.076 0.750 0.817 (multiplicity 4)
N: 0.171 0.750 0.414 (multiplicity 4)

=====

(2)
Here is crystalline Na3EuC3O9 at its relaxed geometry from Alexandria via LeMat-Bulk. Energies are from PBE-GGA.

Calculated values
DOS(E_F) ... 10.4 states/eV/f.u.
Uncorrected formation energy ... -1.87 eV per atom

abc: 10.114 11.175 7.332
angles: 90.00 90.00 90.00
Space group Ama2 (No. 40)
Symmetry-distinct sites (fractional):
Na: 0.000 0.000 0.000 (multiplicity 4)
Na: 0.250 0.016 0.323 (multiplicity 4)
Na: 0.250 0.294 0.440 (multiplicity 4)
Eu: 0.250 0.227 0.935 (multiplicity 4)
C: 0.001 0.299 0.762 (multiplicity 8)
C: 0.250 0.010 0.704 (multiplicity 4)
O: 0.008 0.202 0.856 (multiplicity 8)
O: 0.110 0.359 0.730 (multiplicity 8)
O: 0.112 0.161 0.204 (multiplicity 8)
O: 0.250 0.007 0.884 (multiplicity 4)
O: 0.250 0.114 0.627 (multiplicity 4)
O: 0.250 0.413 0.111 (multiplicity 4)

=====

Question: Look up the uncorrected formation energy of the second one.
Answer: -1.87 eV per atom

=====

Question: Among the records above, which one has the highest uncorrected formation energy?
Answer: EuCN2